Compound: TbEr5Tl3
Source: Alexandria
Functional: PBE
Structure: optimized geometry

Summary:
Symmetry   P6_3/mcm (193)
Uncorrected energy   -4.0898 eV per atom
Formation energy   -252 meV/atom
Total magnetization   0.189 μB/f.u.

```
18
Lattice="9.310 0.000 0.000 -4.655 8.062 0.000 0.000 0.000 6.683" Properties=species:S:1:pos:R:3 pbc="T T T"
Tb 0.000 0.000 0.000
Tb 0.000 0.000 3.341
Er -1.548 2.681 1.671
Er -3.107 5.381 5.012
Er 3.096 0.000 1.671
Er 1.548 2.681 5.012
Er 0.000 5.375 0.000
Er 0.000 5.375 3.341
Er 6.213 0.000 5.012
Er 4.655 2.687 0.000
Er 4.655 2.687 3.341
Er 3.107 5.381 1.671
Tl -1.561 2.703 5.012
Tl -3.094 5.359 1.671
Tl 3.121 0.000 5.012
Tl 1.561 2.703 1.671
Tl 6.188 0.000 1.671
Tl 3.094 5.359 5.012
```

***

Compound: Pm2HoPb4
Source: Alexandria
Functional: PBE
Structure: optimized geometry

Summary:
Symmetry   P2_1/m (11)
Uncorrected energy   -4.4456 eV per atom
Formation energy   -315 meV/atom
Total magnetization   0.000 μB/f.u.

```
14
Lattice="6.274 0.000 0.000 0.000 6.517 0.000 -2.756 0.000 10.411" Properties=species:S:1:pos:R:3 pbc="T T T"
Pm -0.552 1.629 5.029
Pm 0.964 1.629 0.853
Pm 2.554 4.888 9.558
Pm 4.070 4.888 5.382
Ho 1.100 4.888 3.164
Ho 2.419 1.629 7.247
Pb -1.150 0.062 8.055
Pb -1.150 3.196 8.055
Pb 2.296 4.888 0.312
Pb 1.059 4.888 6.325
Pb 2.459 1.629 4.086
Pb 1.222 1.629 10.099
Pb 4.668 3.321 2.356
Pb 4.668 6.455 2.356
```

***

Compound: CuSbIr2
Source: Alexandria
Functional: PBE
Structure: optimized geometry

Summary:
Symmetry   Pmm2 (25)
Uncorrected energy   -6.2815 eV per atom
Total magnetization   0.000 μB/f.u.

```
4
Lattice="3.089 0.000 0.000 0.000 4.457 0.000 0.000 0.000 4.591" Properties=species:S:1:pos:R:3 pbc="T T T"
Cu 0.000 0.000 0.000
Sb 1.544 2.228 0.821
Ir 0.000 2.228 3.177
Ir 1.544 0.000 2.353
```

***

Compound: LaCoGe2
Source: Alexandria
Functional: PBE
Structure: optimized geometry

Summary:
Symmetry   Pnma (62)
Uncorrected energy   -5.9718 eV per atom
Formation energy   -655 meV/atom
Total magnetization   0.000 μB/f.u.

```
16
Lattice="7.053 0.000 0.000 0.000 4.245 0.000 0.000 0.000 10.544" Properties=species:S:1:pos:R:3 pbc="T T T"
La 1.217 1.061 1.337
La 2.310 3.184 6.609
La 4.743 1.061 3.934
La 5.836 3.184 9.206
Co 0.053 3.184 3.836
Co 3.474 1.061 9.108
Co 3.579 3.184 1.436
Co 7.000 1.061 6.708
Ge 0.971 1.061 4.563
Ge 1.098 1.061 8.725
Ge 2.429 3.184 3.454
Ge 2.555 3.184 9.835
Ge 4.498 1.061 0.708
Ge 4.624 1.061 7.090
Ge 5.955 3.184 1.818
Ge 6.082 3.184 5.980
```